## LiVP3O9 (PBE with a Hubbard U)

Data for LiVP3O9 after structural relaxation.

Unit cell a=9.5021 b=9.5497 c=9.8750 alpha=110.01 beta=104.33 gamma=108.29
Atoms (fractional coordinates):
Li  0.1420  0.3535  0.1603
Li  0.1529  0.5702  0.9965
Li  0.8471  0.4298  0.0035
Li  0.8580  0.6465  0.8397
V  0.2465  0.7316  0.7739
V  0.4023  0.2000  0.2888
V  0.5977  0.8000  0.7112
V  0.7535  0.2684  0.2261
P  0.0065  0.6521  0.3924
P  0.0655  0.8347  0.2042
P  0.1963  0.0747  0.9131
P  0.3150  0.4116  0.5821
P  0.4402  0.7100  0.3332
P  0.4975  0.8857  0.1440
P  0.5025  0.1143  0.8560
P  0.5598  0.2900  0.6668
P  0.6849  0.5884  0.4179
P  0.8037  0.9253  0.0869
P  0.9345  0.1653  0.7958
P  0.9935  0.3479  0.6076
O  0.0005  0.6742  0.0559
O  0.0592  0.5124  0.7523
O  0.0756  0.1052  0.7936
O  0.0888  0.8013  0.3555
O  0.1215  0.6812  0.5420
O  0.1400  0.8928  0.8630
O  0.1438  0.3134  0.5817
O  0.2179  0.9741  0.2421
O  0.2311  0.1883  0.0802
O  0.2829  0.5785  0.2006
O  0.3067  0.3559  0.4172
O  0.3452  0.7512  0.0061
O  0.3536  0.1478  0.8786
O  0.3772  0.5965  0.6835
O  0.4199  0.3503  0.6806
O  0.4510  0.7738  0.4969
O  0.4687  0.9365  0.8204
O  0.4974  0.1317  0.7007
O  0.5026  0.8683  0.2993
O  0.5313  0.0635  0.1796
O  0.5490  0.2262  0.5031
O  0.5801  0.6497  0.3194
O  0.6228  0.4035  0.3165
O  0.6464  0.8522  0.1214
O  0.6548  0.2488  0.9939
O  0.6933  0.6441  0.5828
O  0.7171  0.4215  0.7994
O  0.7689  0.8117  0.9198
O  0.7821  0.0259  0.7579
O  0.8562  0.6866  0.4183
O  0.8600  0.1072  0.1370
O  0.8785  0.3188  0.4580
O  0.9112  0.1987  0.6445
O  0.9244  0.8948  0.2064
O  0.9408  0.4876  0.2477
O  0.9995  0.3258  0.9441

Properties
Calculated volume (Å³ per cell): 733.42
Relative energy among the computed polymorphs (meV/atom): 0
M_tot (μB/cell): 12.00